Density functional theory data (GGA-PBE) for a relaxed SmCd3Rh crystal.

Lattice parameters (Å, degrees): 5.458 5.458 10.156 105.59 105.59 90.00
Positions (direct):
Rh: 0.000 0.000 0.000
Rh: 0.250 0.750 0.500
Sm: 0.539 0.039 0.077
Sm: 0.961 0.461 0.923
Cd: 0.281 0.281 0.563
Cd: 0.128 0.877 0.256
Cd: 0.719 0.719 0.437
Cd: 0.128 0.379 0.256
Cd: 0.123 0.872 0.744
Cd: 0.621 0.872 0.744

## Properties
N(E_F)   5.35 states/eV per cell
Energy of formation   -0.58 eV per formula unit